Crystalline Li2AlCd2 at its relaxed geometry, computed with GGA-PBE.

Unit cell a=8.122 b=4.662 c=9.966 alpha=90.00 beta=105.23 gamma=90.00
Space group C2/m (No. 12)
Inequivalent atoms, fractional coordinates:
Li  0.054  0.000  0.158
Li  0.152  0.000  0.453
Al  0.247  0.000  0.746
Cd  0.048  0.500  0.650
Cd  0.151  0.500  0.952

Calculated values
DOS(E_F), states/eV/cell: 4.5
Relative energy among the computed polymorphs, kJ per mole of atoms: 2.0
Spin magnetization, Bohr magnetons per cell: 0.00
VASP energy, eV/cell: -40.74
Formation energy from the elements, eV per atom: -0.1567